SrLaSb2Te: relaxed, GGA-PBE.

The structure in CIF format:
```
data_SrLaSb2Te
_cell_length_a 6.003
_cell_length_b 6.003
_cell_length_c 6.080
_cell_angle_alpha 90.00
_cell_angle_beta 90.00
_cell_angle_gamma 90.00
_symmetry_space_group_name_H-M 'P 4/m m m'
_symmetry_Int_Tables_number 123
_symmetry_space_group_name_Hall '-P 4 2'
loop_
_atom_site_label
_atom_site_fract_x
_atom_site_fract_y
_atom_site_fract_z
Sr1 0.000 0.000 0.000
La1 0.500 0.500 0.500
Sb1 0.000 0.500 0.500
Te1 0.500 0.500 0.000
```

## Properties
* excess energy over the best structure of this formula in the dataset: 0 meV per atom
* ΔE_f (raw): -0.3835 eV/atom


Sr3LaTh2Sb6: relaxed, GGA-PBE.

The structure in CIF format:
```
data_Sr3LaTh2Sb6
_cell_length_a 8.056
_cell_length_b 13.957
_cell_length_c 8.112
_cell_angle_alpha 90.00
_cell_angle_beta 109.35
_cell_angle_gamma 90.00
_symmetry_space_group_name_H-M 'C 1 2/m 1'
_symmetry_Int_Tables_number 12
loop_
_symmetry_equiv_pos_as_xyz
'x,y,z'
'-x,-y,-z'
'-x,y,-z'
'x,-y,z'
'x+1/2,y+1/2,z'
'-x+1/2,-y+1/2,-z'
'-x+1/2,y+1/2,-z'
'x+1/2,-y+1/2,z'
loop_
_atom_site_label
_atom_site_fract_x
_atom_site_fract_y
_atom_site_fract_z
Sr1 0.000 0.000 0.000
Sr2 0.000 0.335 0.000
La1 0.000 0.500 0.500
Th1 0.000 0.167 0.500
Sb1 0.238 0.000 0.731
Sb2 0.247 0.330 0.732
```

## Properties
* ΔE_f (raw): -1.0203 eV/atom


LaTa2Sb: relaxed, GGA-PBE.

The structure in CIF format:
```
data_LaTa2Sb
_cell_length_a 3.2916
_cell_length_b 3.2916
_cell_length_c 29.3822
_cell_angle_alpha 90.00
_cell_angle_beta 90.00
_cell_angle_gamma 120.00
_symmetry_space_group_name_H-M 'R -3 m'
_symmetry_Int_Tables_number 166
_symmetry_space_group_name_Hall '-R 3 2"'
loop_
_atom_site_label
_atom_site_fract_x
_atom_site_fract_y
_atom_site_fract_z
La1 0.0000 0.0000 0.0000
Ta1 0.0000 0.0000 0.2413
Sb1 0.0000 0.0000 0.5000
```

## Properties
* ΔE_f (raw): 0.5493 eV/atom


La2TaSb: relaxed, GGA-PBE.

The structure in CIF format:
```
data_La2TaSb
_cell_length_a 3.677
_cell_length_b 3.677
_cell_length_c 8.730
_cell_angle_alpha 90.00
_cell_angle_beta 90.00
_cell_angle_gamma 90.00
_symmetry_space_group_name_H-M 'P 4 m m'
_symmetry_Int_Tables_number 99
loop_
_symmetry_equiv_pos_as_xyz
'x,y,z'
'-y,x,z'
'-x,-y,z'
'y,-x,z'
'-x,y,z'
'y,x,z'
'x,-y,z'
'-y,-x,z'
loop_
_atom_site_label
_atom_site_fract_x
_atom_site_fract_y
_atom_site_fract_z
La1 0.000 0.000 0.000
La2 0.500 0.500 0.375
Ta1 0.500 0.500 0.756
Sb1 0.000 0.000 0.613
```

## Properties
* ΔE_f (raw): -0.0945 eV/atom


LaTa2Sb: relaxed, GGA-PBE.

The structure in CIF format:
```
data_LaTa2Sb
_cell_length_a 6.252
_cell_length_b 10.142
_cell_length_c 3.323
_cell_angle_alpha 90.00
_cell_angle_beta 120.88
_cell_angle_gamma 90.00
_symmetry_space_group_name_H-M 'C 1 2/m 1'
_symmetry_Int_Tables_number 12
loop_
_symmetry_equiv_pos_as_xyz
'x,y,z'
'-x,-y,-z'
'-x,y,-z'
'x,-y,z'
'x+1/2,y+1/2,z'
'-x+1/2,-y+1/2,-z'
'-x+1/2,y+1/2,-z'
'x+1/2,-y+1/2,z'
loop_
_atom_site_label
_atom_site_fract_x
_atom_site_fract_y
_atom_site_fract_z
La1 0.000 0.000 0.000
Ta1 0.250 0.250 0.500
Sb1 0.000 0.500 0.000
```

## Properties
* ΔE_f (raw): 0.3322 eV/atom


La2TaSb: relaxed, GGA-PBE.

The structure in CIF format:
```
data_La2TaSb
_cell_length_a 3.4151
_cell_length_b 3.4151
_cell_length_c 32.7777
_cell_angle_alpha 90.00
_cell_angle_beta 90.00
_cell_angle_gamma 120.00
_symmetry_space_group_name_H-M 'R -3 m'
_symmetry_Int_Tables_number 166
_symmetry_space_group_name_Hall '-R 3 2"'
loop_
_atom_site_label
_atom_site_fract_x
_atom_site_fract_y
_atom_site_fract_z
La1 0.0000 0.0000 0.2463
Ta1 0.0000 0.0000 0.5000
Sb1 0.0000 0.0000 0.0000
```

## Properties
* ΔE_f (raw): 0.1772 eV/atom


LaTa2Sb: relaxed, GGA-PBE.

The structure in CIF format:
```
data_LaTa2Sb
_cell_length_a 3.511
_cell_length_b 3.511
_cell_length_c 7.705
_cell_angle_alpha 90.00
_cell_angle_beta 90.00
_cell_angle_gamma 90.00
_symmetry_space_group_name_H-M 'P 4 m m'
_symmetry_Int_Tables_number 99
loop_
_symmetry_equiv_pos_as_xyz
'x,y,z'
'-y,x,z'
'-x,-y,z'
'y,-x,z'
'-x,y,z'
'y,x,z'
'x,-y,z'
'-y,-x,z'
loop_
_atom_site_label
_atom_site_fract_x
_atom_site_fract_y
_atom_site_fract_z
La1 0.000 0.000 0.000
Ta1 0.000 0.000 0.536
Ta2 0.500 0.500 0.709
Sb1 0.500 0.500 0.320
```

## Properties
* ΔE_f (raw): -0.0624 eV/atom


La2TaSb: relaxed, GGA-PBE.

The structure in CIF format:
```
data_La2TaSb
_cell_length_a 6.463
_cell_length_b 9.059
_cell_length_c 3.668
_cell_angle_alpha 90.00
_cell_angle_beta 90.00
_cell_angle_gamma 90.00
_symmetry_space_group_name_H-M 'C m m m'
_symmetry_Int_Tables_number 65
_symmetry_space_group_name_Hall '-C 2 2'
loop_
_atom_site_label
_atom_site_fract_x
_atom_site_fract_y
_atom_site_fract_z
La1 0.250 0.250 0.000
Ta1 0.000 0.000 0.500
Sb1 0.000 0.500 0.500
```

## Properties
* ΔE_f (raw): -0.0752 eV/atom